[1]
Density functional theory data (PBE) for a geometry-optimized Sc5Re structure.

Results
Raw total energy, eV per atom: -7.318
Energy of formation, eV/atom: 0.033
Magnetization, μB per cell: 0.000
N(E_F), states/eV/f.u.: 6.14
Calculated density, g cm⁻³: 5.22
Energy relative to the lowest polymorph listed for this composition, meV/atom: 71

abc: 4.865 3.545 15.150
angles: 90.00 90.00 90.00
Space group Amm2 (No. 38)
Inequivalent atoms, fractional coordinates:
Sc (0.000, 0.000, 0.000) [2 per cell]
Sc (0.000, 0.000, 0.283) [2 per cell]
Sc (0.500, 0.000, 0.122) [2 per cell]
Sc (0.500, 0.000, 0.444) [2 per cell]
Sc (0.500, 0.000, 0.773) [2 per cell]
Re (0.000, 0.000, 0.645) [2 per cell]


[2]
Density functional theory data (PBE) for a geometry-optimized Sc3Re structure.

Results
Raw total energy, eV per atom: -7.672
Energy of formation, eV/atom: 0.189
Magnetization, μB per cell: 0.020
N(E_F), states/eV/f.u.: 7.54
Calculated density, g cm⁻³: 6.65

abc: 5.432 5.432 5.432
angles: 90.00 90.00 90.00
Space group Pm-3n (No. 223)
Inequivalent atoms, fractional coordinates:
Sc (0.000, 0.250, 0.500) [6 per cell]
Re (0.000, 0.000, 0.000) [2 per cell]


[3]
Density functional theory data (PBE) for a geometry-optimized Sc4Re structure.

Results
Raw total energy, eV per atom: -7.501
Energy of formation, eV/atom: 0.054
Magnetization, μB per cell: 0.000
N(E_F), states/eV/f.u.: 5.46
Calculated density, g cm⁻³: 5.81
Energy relative to the lowest polymorph listed for this composition, meV/atom: 0

abc: 6.429 6.429 5.059
angles: 90.00 90.00 90.00
Space group I4/m (No. 87)
Inequivalent atoms, fractional coordinates:
Sc (0.132, 0.301, 0.000) [8 per cell]
Re (0.000, 0.000, 0.500) [2 per cell]


[4]
Density functional theory data (PBE) for a geometry-optimized ScRe structure.

Results
Raw total energy, eV per atom: -8.524
Energy of formation, eV/atom: 0.866
Magnetization, μB per cell: 0.000
N(E_F), states/eV/f.u.: 2.54
Calculated density, g cm⁻³: 9.26

abc: 5.562 5.562 5.363
angles: 90.00 90.00 90.00
Space group P4_2/mnm (No. 136)
Inequivalent atoms, fractional coordinates:
Sc (0.192, 0.192, 0.000) [4 per cell]
Re (0.152, 0.152, 0.500) [4 per cell]


[5]
Density functional theory data (PBE) for a geometry-optimized ScRe structure.

Results
Raw total energy, eV per atom: -9.431
Energy of formation, eV/atom: -0.041
Magnetization, μB per cell: 0.000
N(E_F), states/eV/f.u.: 1.93
Calculated density, g cm⁻³: 11.31

abc: 6.476 6.476 6.476
angles: 90.00 90.00 90.00
Space group Fd-3m (No. 227, origin choice 2)
Inequivalent atoms, fractional coordinates:
Sc (0.125, 0.125, 0.125) [8 per cell]
Re (0.125, 0.125, 0.625) [8 per cell]


[6]
Density functional theory data (PBE) for a geometry-optimized ScRe5 structure.

Results
Raw total energy, eV per atom: -11.274
Energy of formation, eV/atom: 0.154
Magnetization, μB per cell: 0.000
N(E_F), states/eV/f.u.: 6.51
Calculated density, g cm⁻³: 15.59
Energy relative to the lowest polymorph listed for this composition, meV/atom: 74

abc: 5.1485 5.1485 4.5282
angles: 90.00 90.00 120.00
Space group P6/mmm (No. 191)
Inequivalent atoms, fractional coordinates:
Sc (0.0000, 0.0000, 0.0000) [1 per cell]
Re (0.0000, 0.5000, 0.5000) [3 per cell]
Re (0.3333, 0.6667, 0.0000) [2 per cell]


[7]
Density functional theory data (PBE) for a geometry-optimized ScRe structure.

Results
Raw total energy, eV per atom: -8.995
Energy of formation, eV/atom: 0.395
Magnetization, μB per cell: 0.000
N(E_F), states/eV/f.u.: 1.77
Calculated density, g cm⁻³: 8.41

abc: 9.561 9.561 3.996
angles: 90.00 90.00 90.00
Space group I4/mmm (No. 139)
Inequivalent atoms, fractional coordinates:
Sc (0.000, 0.310, 0.000) [8 per cell]
Re (0.201, 0.201, 0.500) [8 per cell]


[8]
Density functional theory data (PBE) for a geometry-optimized Sc5Re3 structure.

Results
Raw total energy, eV per atom: -8.543
Energy of formation, eV/atom: 0.082
Magnetization, μB per cell: 0.000
N(E_F), states/eV/f.u.: 8.62
Calculated density, g cm⁻³: 8.79
Energy relative to the lowest polymorph listed for this composition, meV/atom: 27

abc: 7.229 9.227 4.438
angles: 90.00 90.00 90.00
Space group Cmmm (No. 65)
Inequivalent atoms, fractional coordinates:
Sc (0.000, 0.000, 0.000) [2 per cell]
Sc (0.208, 0.500, 0.500) [4 per cell]
Sc (0.250, 0.250, 0.000) [4 per cell]
Re (0.000, 0.215, 0.500) [4 per cell]
Re (0.000, 0.500, 0.000) [2 per cell]


[9]
Density functional theory data (PBE) for a geometry-optimized Sc5Re4 structure.

Results
Raw total energy, eV per atom: -8.959
Energy of formation, eV/atom: 0.091
Magnetization, μB per cell: 0.000
N(E_F), states/eV/f.u.: 8.17
Calculated density, g cm⁻³: 9.98

abc: 10.008 10.008 3.221
angles: 90.00 90.00 90.00
Space group I4/mmm (No. 139)
Inequivalent atoms, fractional coordinates:
Sc (0.000, 0.000, 0.000) [2 per cell]
Sc (0.168, 0.168, 0.500) [8 per cell]
Re (0.000, 0.348, 0.000) [8 per cell]


[10]
Density functional theory data (PBE) for a geometry-optimized Sc2Re structure.

Results
Raw total energy, eV per atom: -8.333
Energy of formation, eV/atom: 0.037
Magnetization, μB per cell: 0.000
N(E_F), states/eV/f.u.: 2.92
Calculated density, g cm⁻³: 7.99

abc: 3.498 13.660 4.805
angles: 90.00 90.00 90.00
Space group Cmcm (No. 63)
Inequivalent atoms, fractional coordinates:
Sc (0.000, 0.065, 0.250) [4 per cell]
Sc (0.000, 0.247, 0.750) [4 per cell]
Re (0.000, 0.401, 0.250) [4 per cell]


[11]
Density functional theory data (PBE) for a geometry-optimized Sc4Re structure.

Results
Raw total energy, eV per atom: -7.277
Energy of formation, eV/atom: 0.277
Magnetization, μB per cell: 0.002
N(E_F), states/eV/f.u.: 6.24
Calculated density, g cm⁻³: 4.68
Energy relative to the lowest polymorph listed for this composition, meV/atom: 224

abc: 5.064 5.064 5.064
angles: 90.00 90.00 90.00
Space group Pm-3m (No. 221)
Inequivalent atoms, fractional coordinates:
Sc (0.000, 0.000, 0.000) [1 per cell]
Sc (0.000, 0.500, 0.500) [3 per cell]
Re (0.500, 0.500, 0.500) [1 per cell]


[12]
Density functional theory data (PBE) for a geometry-optimized Sc2Re structure.

Results
Raw total energy, eV per atom: -8.299
Energy of formation, eV/atom: 0.071
Magnetization, μB per cell: 0.000
N(E_F), states/eV/f.u.: 4.45
Calculated density, g cm⁻³: 7.74

abc: 3.365 4.985 14.128
angles: 90.00 90.00 90.00
Space group Fmmm (No. 69)
Inequivalent atoms, fractional coordinates:
Sc (0.000, 0.000, 0.146) [8 per cell]
Re (0.000, 0.000, 0.500) [4 per cell]


[13]
Density functional theory data (PBE) for a geometry-optimized ScRe structure.

Results
Raw total energy, eV per atom: -9.010
Energy of formation, eV/atom: 0.380
Magnetization, μB per cell: 0.001
N(E_F), states/eV/f.u.: 2.47
Calculated density, g cm⁻³: 10.80

abc: 5.219 5.219 5.219
angles: 90.00 90.00 90.00
Space group P2_13 (No. 198)
Inequivalent atoms, fractional coordinates:
Sc (0.099, 0.099, 0.099) [4 per cell]
Re (0.106, 0.606, 0.894) [4 per cell]


[14]
Density functional theory data (PBE) for a geometry-optimized ScRe2Se structure.

Results
Raw total energy, eV per atom: -8.867
Energy relative to the elements, uncorrected, kJ/mol of atoms: -18
Magnetization, μB per cell: 0.000
N(E_F), states/eV/f.u.: 3.52
Calculated density, g cm⁻³: 11.60

abc: 3.159 3.207 14.024
angles: 90.00 90.00 90.00
Space group Amm2 (No. 38)
Inequivalent atoms, fractional coordinates:
Sc (0.000, 0.000, 0.000) [2 per cell]
Re (0.000, 0.000, 0.236) [2 per cell]
Re (0.500, 0.000, 0.642) [2 per cell]
Se (0.500, 0.000, 0.389) [2 per cell]


[15]
Density functional theory data (PBE) for a geometry-optimized ScReSe structure.

Results
Raw total energy, eV per atom: -7.586
Energy relative to the elements, uncorrected, kJ/mol of atoms: -16
Magnetization, μB per cell: 0.000
N(E_F), states/eV/f.u.: 0.56
Calculated density, g cm⁻³: 9.59
Energy relative to the lowest polymorph listed for this composition, meV/atom: 15

abc: 3.150 3.150 10.827
angles: 90.00 90.00 90.00
Space group I4mm (No. 107)
Inequivalent atoms, fractional coordinates:
Sc (0.000, 0.000, 0.000) [2 per cell]
Re (0.000, 0.000, 0.673) [2 per cell]
Se (0.000, 0.000, 0.294) [2 per cell]


[16]
Density functional theory data (PBE) for a geometry-optimized ScRe2Se structure.

Results
Raw total energy, eV per atom: -8.628
Energy relative to the elements, uncorrected, kJ/mol of atoms: 5
Magnetization, μB per cell: 0.000
N(E_F), states/eV/f.u.: 3.13
Calculated density, g cm⁻³: 12.32

abc: 10.746 3.208 4.195
angles: 90.00 112.29 90.00
Space group C2/m (No. 12)
Inequivalent atoms, fractional coordinates:
Sc (0.000, 0.000, 0.000) [2 per cell]
Re (0.246, 0.000, 0.747) [4 per cell]
Se (0.000, 0.500, 0.500) [2 per cell]


[17]
Density functional theory data (PBE) for a geometry-optimized ScRe2Se structure.

Results
Raw total energy, eV per atom: -8.560
Energy relative to the elements, uncorrected, kJ/mol of atoms: 11
Magnetization, μB per cell: 0.000
N(E_F), states/eV/f.u.: 2.41
Calculated density, g cm⁻³: 12.17

abc: 3.693 3.693 4.964
angles: 90.00 90.00 90.00
Space group P4/mmm (No. 123)
Inequivalent atoms, fractional coordinates:
Sc (0.000, 0.000, 0.000) [1 per cell]
Re (0.000, 0.500, 0.500) [2 per cell]
Se (0.500, 0.500, 0.000) [1 per cell]


[18]
Density functional theory data (PBE) for a geometry-optimized Sc2ReSe structure.

Results
Raw total energy, eV per atom: -7.548
Energy relative to the elements, uncorrected, kJ/mol of atoms: -38
Magnetization, μB per cell: 0.000
N(E_F), states/eV/f.u.: 4.07
Calculated density, g cm⁻³: 7.65

abc: 3.266 4.369 10.798
angles: 90.00 90.00 90.00
Space group Imm2 (No. 44)
Inequivalent atoms, fractional coordinates:
Sc (0.000, 0.000, 0.000) [2 per cell]
Sc (0.000, 0.500, 0.226) [2 per cell]
Re (0.000, 0.000, 0.499) [2 per cell]
Se (0.000, 0.500, 0.812) [2 per cell]


[19]
Density functional theory data (PBE) for a geometry-optimized ScReSe structure.

Results
Raw total energy, eV per atom: -7.601
Energy relative to the elements, uncorrected, kJ/mol of atoms: -17
Magnetization, μB per cell: 0.000
N(E_F), states/eV/f.u.: 3.02
Calculated density, g cm⁻³: 9.78
Energy relative to the lowest polymorph listed for this composition, meV/atom: 0

abc: 4.3258 4.3258 3.2500
angles: 90.00 90.00 120.00
Space group P-6m2 (No. 187)
Inequivalent atoms, fractional coordinates:
Sc (0.0000, 0.0000, 0.0000) [1 per cell]
Re (0.3333, 0.6667, 0.5000) [1 per cell]
Se (0.6667, 0.3333, 0.5000) [1 per cell]


[20]
Density functional theory data (PBE) for a geometry-optimized Sc2ReSe structure.

Results
Raw total energy, eV per atom: -7.117
Energy relative to the elements, uncorrected, kJ/mol of atoms: 3
Magnetization, μB per cell: 0.000
N(E_F), states/eV/f.u.: 3.82
Calculated density, g cm⁻³: 7.40

abc: 7.171 7.171 6.199
angles: 90.00 90.00 90.00
Space group I-42d (No. 122)
Inequivalent atoms, fractional coordinates:
Sc (0.248, 0.250, 0.125) [8 per cell]
Re (0.000, 0.000, 0.000) [4 per cell]
Se (0.000, 0.000, 0.500) [4 per cell]


[21]
Density functional theory data (PBE) for a geometry-optimized ScRe2Se structure.

Results
Raw total energy, eV per atom: -8.526
Energy relative to the elements, uncorrected, kJ/mol of atoms: 15
Magnetization, μB per cell: 0.000
N(E_F), states/eV/f.u.: 4.86
Calculated density, g cm⁻³: 12.10

abc: 3.0629 3.0629 25.1480
angles: 90.00 90.00 120.00
Space group R3m (No. 160, hexagonal axes)
Inequivalent atoms, fractional coordinates:
Sc (0.0000, 0.0000, 0.0000) [3 per cell]
Re (0.0000, 0.0000, 0.2473) [3 per cell]
Re (0.0000, 0.0000, 0.5010) [3 per cell]
Se (0.0000, 0.0000, 0.7562) [3 per cell]


[22]
Density functional theory data (PBE) for a geometry-optimized Sc4ReSe structure.

Results
Raw total energy, eV per atom: -6.379
Energy relative to the elements, uncorrected, kJ/mol of atoms: 48
Magnetization, μB per cell: 2.340
N(E_F), states/eV/f.u.: 8.51
Calculated density, g cm⁻³: 6.07

abc: 7.866 7.866 7.866
angles: 90.00 90.00 90.00
Space group F-43m (No. 216)
Inequivalent atoms, fractional coordinates:
Sc (0.122, 0.122, 0.378) [16 per cell]
Re (0.250, 0.250, 0.750) [4 per cell]
Se (0.000, 0.000, 0.000) [4 per cell]


[23]
Density functional theory data (PBE) for a geometry-optimized ScReSe4 structure.

Results
Raw total energy, eV per atom: -4.515
Energy relative to the elements, uncorrected, kJ/mol of atoms: 90
Magnetization, μB per cell: 0.024
N(E_F), states/eV/f.u.: 5.65
Calculated density, g cm⁻³: 7.75

abc: 7.769 7.769 7.769
angles: 90.00 90.00 90.00
Space group F-43m (No. 216)
Inequivalent atoms, fractional coordinates:
Sc (0.000, 0.000, 0.000) [4 per cell]
Re (0.250, 0.250, 0.250) [4 per cell]
Se (0.125, 0.125, 0.625) [16 per cell]


[24]
Density functional theory data (PBE) for a geometry-optimized ScReSe3 structure.

Results
Raw total energy, eV per atom: -5.211
Energy relative to the elements, uncorrected, kJ/mol of atoms: 61
Magnetization, μB per cell: 4.152
N(E_F), states/eV/f.u.: 3.85
Calculated density, g cm⁻³: 5.86
Energy relative to the lowest polymorph listed for this composition, meV/atom: 467

abc: 5.099 5.099 5.099
angles: 90.00 90.00 90.00
Space group Pm-3m (No. 221)
Inequivalent atoms, fractional coordinates:
Sc (0.000, 0.000, 0.000) [1 per cell]
Re (0.500, 0.500, 0.500) [1 per cell]
Se (0.000, 0.000, 0.500) [3 per cell]


[25]
Density functional theory data (PBE) for a geometry-optimized ScRe2Se structure.

Results
Raw total energy, eV per atom: -8.774
Energy relative to the elements, uncorrected, kJ/mol of atoms: -9
Magnetization, μB per cell: 0.000
N(E_F), states/eV/f.u.: 3.96
Calculated density, g cm⁻³: 11.97

abc: 3.075 3.075 7.280
angles: 90.00 90.00 90.00
Space group P4mm (No. 99)
Inequivalent atoms, fractional coordinates:
Sc (0.000, 0.000, 0.000) [1 per cell]
Re (0.000, 0.000, 0.531) [1 per cell]
Re (0.500, 0.500, 0.732) [1 per cell]
Se (0.500, 0.500, 0.268) [1 per cell]


[26]
Density functional theory data (PBE) for a geometry-optimized Sc2ReSe structure.

Results
Raw total energy, eV per atom: -7.448
Energy relative to the elements, uncorrected, kJ/mol of atoms: -29
Magnetization, μB per cell: 0.000
N(E_F), states/eV/f.u.: 1.52
Calculated density, g cm⁻³: 7.31

abc: 3.785 3.785 5.628
angles: 90.00 90.00 90.00
Space group P4mm (No. 99)
Inequivalent atoms, fractional coordinates:
Sc (0.000, 0.000, 0.000) [1 per cell]
Sc (0.500, 0.500, 0.344) [1 per cell]
Re (0.500, 0.500, 0.895) [1 per cell]
Se (0.000, 0.000, 0.491) [1 per cell]


[27]
Density functional theory data (PBE) for a geometry-optimized Sc2ReSe structure.

Results
Raw total energy, eV per atom: -7.124
Energy relative to the elements, uncorrected, kJ/mol of atoms: 2
Magnetization, μB per cell: 0.000
N(E_F), states/eV/f.u.: 3.99
Calculated density, g cm⁻³: 8.33

abc: 6.566 6.566 6.566
angles: 90.00 90.00 90.00
Space group F-43m (No. 216)
Inequivalent atoms, fractional coordinates:
Sc (0.000, 0.000, 0.000) [4 per cell]
Sc (0.250, 0.250, 0.250) [4 per cell]
Re (0.250, 0.250, 0.750) [4 per cell]
Se (0.000, 0.000, 0.500) [4 per cell]


[28]
Density functional theory data (PBE) for a geometry-optimized ScRe3Se structure.

Results
Raw total energy, eV per atom: -6.793
Energy relative to the elements, uncorrected, kJ/mol of atoms: 255
Magnetization, μB per cell: 0.001
N(E_F), states/eV/f.u.: 9.86
Calculated density, g cm⁻³: 11.23
Energy relative to the lowest polymorph listed for this composition, meV/atom: 1486

abc: 4.656 4.656 4.656
angles: 90.00 90.00 90.00
Space group Pm-3m (No. 221)
Inequivalent atoms, fractional coordinates:
Sc (0.000, 0.000, 0.000) [1 per cell]
Re (0.000, 0.000, 0.500) [3 per cell]
Se (0.500, 0.500, 0.500) [1 per cell]